The following is a DFT calculation (GGA-PBE) of Nd3EuRu after structural relaxation.

Results
The value obtained for the formation energy is -0.055 eV per atom. The symmetry is Pm-3m. As for the total energy: -34.13 eV per cell.

a = 5.6108 Å, b = 5.6108 Å, c = 5.6108 Å
α = 90.00°, β = 90.00°, γ = 90.00°
Each line ends with the local moment (μB).
Positions (direct):
Nd  0.5000  0.0000  0.0000  0.03
Nd  0.0000  0.0000  0.5000  0.03
Nd  0.0000  0.5000  0.0000  0.03
Ru  0.0000  0.0000  0.0000  -0.02
Eu  0.5000  0.5000  0.5000  6.89